Below is a geometry-optimized K8As2Au structure, with properties calculated at the PBE level.

Geometry as CIF:
```
data_K8As2Au
_chemical_formula_sum 'K8 As2 Au1'
_cell_length_a 9.856
_cell_length_b 9.856
_cell_length_c 9.856
_cell_angle_alpha 146.21
_cell_angle_beta 129.28
_cell_angle_gamma 62.35
_symmetry_space_group_name_H-M 'P 1'
_symmetry_Int_Tables_number 1
_symmetry_space_group_name_Hall 'P 1'
loop_
_atom_site_label
_atom_site_type_symbol
_atom_site_fract_x
_atom_site_fract_y
_atom_site_fract_z
K1 K 0.116 0.345 0.771
K2 K 0.175 0.175 0.000
K3 K 0.294 0.000 0.294
K4 K 0.426 0.655 0.771
K5 K 0.574 0.345 0.229
K6 K 0.706 0.000 0.706
K7 K 0.825 0.825 0.000
K8 K 0.884 0.655 0.229
As1 As 0.317 0.817 0.500
As2 As 0.683 0.183 0.500
Au1 Au 0.000 0.500 0.500
```

Output
* VASP energy: -2.20 eV/atom
* formation energy from the elements: -0.26 eV/atom
* total magnetic moment: 0.155 μB/f.u.

---

Below is a geometry-optimized KAsAu2 structure, with properties calculated at the PBE level.

Geometry as CIF:
```
data_KAsAu2
_chemical_formula_sum 'K1 As1 Au2'
_cell_length_a 2.963
_cell_length_b 4.422
_cell_length_c 7.250
_cell_angle_alpha 90.00
_cell_angle_beta 101.67
_cell_angle_gamma 90.00
_symmetry_space_group_name_H-M 'P 1'
_symmetry_Int_Tables_number 1
_symmetry_space_group_name_Hall 'P 1'
loop_
_atom_site_label
_atom_site_type_symbol
_atom_site_fract_x
_atom_site_fract_y
_atom_site_fract_z
K1 K 0.000 0.000 0.000
As1 As 0.652 0.500 0.304
Au1 Au 0.339 0.500 0.677
Au2 Au 0.749 0.000 0.496
```

Output
* VASP energy: -3.14 eV/atom
* formation energy from the elements: -0.06 eV/atom
* total magnetic moment: 0.000 μB/f.u.

---

Below is a geometry-optimized KAs4Au structure, with properties calculated at the PBE level.

Geometry as CIF:
```
data_KAs4Au
_chemical_formula_sum 'K1 As4 Au1'
_cell_length_a 6.225
_cell_length_b 6.225
_cell_length_c 6.225
_cell_angle_alpha 60.00
_cell_angle_beta 60.00
_cell_angle_gamma 60.00
_symmetry_space_group_name_H-M 'P 1'
_symmetry_Int_Tables_number 1
_symmetry_space_group_name_Hall 'P 1'
loop_
_atom_site_label
_atom_site_type_symbol
_atom_site_fract_x
_atom_site_fract_y
_atom_site_fract_z
K1 K 0.000 0.000 0.000
As1 As 0.202 0.599 0.599
As2 As 0.599 0.202 0.599
As3 As 0.599 0.599 0.202
As4 As 0.599 0.599 0.599
Au1 Au 0.250 0.250 0.250
```

Output
* VASP energy: -3.79 eV/atom
* formation energy from the elements: 0.04 eV/atom
* total magnetic moment: 0.000 μB/f.u.

---

Below is a geometry-optimized KAsAu2 structure, with properties calculated at the PBE level.

Geometry as CIF:
```
data_KAsAu2
_chemical_formula_sum 'K1 As1 Au2'
_cell_length_a 6.105
_cell_length_b 6.105
_cell_length_c 6.105
_cell_angle_alpha 148.29
_cell_angle_beta 124.56
_cell_angle_gamma 65.29
_symmetry_space_group_name_H-M 'P 1'
_symmetry_Int_Tables_number 1
_symmetry_space_group_name_Hall 'P 1'
loop_
_atom_site_label
_atom_site_type_symbol
_atom_site_fract_x
_atom_site_fract_y
_atom_site_fract_z
K1 K 0.000 0.000 0.000
As1 As 0.288 0.788 0.500
Au1 Au 0.473 0.473 0.000
Au2 Au 0.686 0.186 0.500
```

Output
* VASP energy: -3.12 eV/atom
* formation energy from the elements: -0.04 eV/atom
* total magnetic moment: 0.000 μB/f.u.

---

Below is a geometry-optimized KAsAu structure, with properties calculated at the PBE level.

Geometry as CIF:
```
data_KAsAu
_chemical_formula_sum 'K1 As1 Au1'
_cell_length_a 4.390
_cell_length_b 4.390
_cell_length_c 5.130
_cell_angle_alpha 90.00
_cell_angle_beta 90.00
_cell_angle_gamma 120.00
_symmetry_space_group_name_H-M 'P 1'
_symmetry_Int_Tables_number 1
_symmetry_space_group_name_Hall 'P 1'
loop_
_atom_site_label
_atom_site_type_symbol
_atom_site_fract_x
_atom_site_fract_y
_atom_site_fract_z
K1 K 0.000 0.000 0.000
As1 As 0.667 0.333 0.500
Au1 Au 0.333 0.667 0.500
```

Output
* VASP energy: -3.38 eV/atom
* formation energy from the elements: -0.37 eV/atom
* total magnetic moment: 0.000 μB/f.u.

---

Below is a geometry-optimized KAsAu2 structure, with properties calculated at the PBE level.

Geometry as CIF:
```
data_KAsAu2
_chemical_formula_sum 'K1 As1 Au2'
_cell_length_a 4.971
_cell_length_b 4.971
_cell_length_c 4.971
_cell_angle_alpha 60.00
_cell_angle_beta 60.00
_cell_angle_gamma 60.00
_symmetry_space_group_name_H-M 'P 1'
_symmetry_Int_Tables_number 1
_symmetry_space_group_name_Hall 'P 1'
loop_
_atom_site_label
_atom_site_type_symbol
_atom_site_fract_x
_atom_site_fract_y
_atom_site_fract_z
K1 K 0.000 0.000 0.000
As1 As 0.750 0.750 0.750
Au1 Au 0.250 0.250 0.250
Au2 Au 0.500 0.500 0.500
```

Output
* VASP energy: -2.88 eV/atom
* formation energy from the elements: 0.20 eV/atom
* total magnetic moment: 0.000 μB/f.u.

---

Below is a geometry-optimized KAsAu2 structure, with properties calculated at the PBE level.

Geometry as CIF:
```
data_KAsAu2
_chemical_formula_sum 'K1 As1 Au2'
_cell_length_a 5.343
_cell_length_b 5.343
_cell_length_c 5.343
_cell_angle_alpha 130.07
_cell_angle_beta 130.07
_cell_angle_gamma 73.30
_symmetry_space_group_name_H-M 'P 1'
_symmetry_Int_Tables_number 1
_symmetry_space_group_name_Hall 'P 1'
loop_
_atom_site_label
_atom_site_type_symbol
_atom_site_fract_x
_atom_site_fract_y
_atom_site_fract_z
K1 K 0.000 0.000 0.000
As1 As 0.250 0.750 0.500
Au1 Au 0.500 0.500 0.000
Au2 Au 0.750 0.250 0.500
```

Output
* VASP energy: -2.90 eV/atom
* formation energy from the elements: 0.18 eV/atom
* total magnetic moment: 0.000 μB/f.u.

---

Below is a geometry-optimized KAsAu structure, with properties calculated at the PBE level.

Geometry as CIF:
```
data_KAsAu
_chemical_formula_sum 'K1 As1 Au1'
_cell_length_a 5.114
_cell_length_b 5.114
_cell_length_c 5.114
_cell_angle_alpha 60.00
_cell_angle_beta 60.00
_cell_angle_gamma 60.00
_symmetry_space_group_name_H-M 'P 1'
_symmetry_Int_Tables_number 1
_symmetry_space_group_name_Hall 'P 1'
loop_
_atom_site_label
_atom_site_type_symbol
_atom_site_fract_x
_atom_site_fract_y
_atom_site_fract_z
K1 K 0.000 0.000 0.000
As1 As 0.250 0.250 0.250
Au1 Au 0.750 0.750 0.750
```

Output
* VASP energy: -2.32 eV/atom
* formation energy from the elements: 0.68 eV/atom
* total magnetic moment: 1.202 μB/f.u.

---

Below is a geometry-optimized KAs12Au4 structure, with properties calculated at the PBE level.

Geometry as CIF:
```
data_KAs12Au4
_chemical_formula_sum 'K1 As12 Au4'
_cell_length_a 7.925
_cell_length_b 7.925
_cell_length_c 7.925
_cell_angle_alpha 109.47
_cell_angle_beta 109.47
_cell_angle_gamma 109.47
_symmetry_space_group_name_H-M 'P 1'
_symmetry_Int_Tables_number 1
_symmetry_space_group_name_Hall 'P 1'
loop_
_atom_site_label
_atom_site_type_symbol
_atom_site_fract_x
_atom_site_fract_y
_atom_site_fract_z
K1 K 0.000 0.000 0.000
As1 As 0.140 0.502 0.362
As2 As 0.140 0.777 0.638
As3 As 0.223 0.362 0.860
As4 As 0.362 0.140 0.502
As5 As 0.362 0.860 0.223
As6 As 0.498 0.638 0.860
As7 As 0.502 0.362 0.140
As8 As 0.638 0.140 0.777
As9 As 0.638 0.860 0.498
As10 As 0.777 0.638 0.140
As11 As 0.860 0.223 0.362
As12 As 0.860 0.498 0.638
Au1 Au 0.000 0.000 0.500
Au2 Au 0.000 0.500 0.000
Au3 Au 0.500 0.000 0.000
Au4 Au 0.500 0.500 0.500
```

Output
* VASP energy: -4.15 eV/atom
* formation energy from the elements: -0.04 eV/atom
* total magnetic moment: 0.000 μB/f.u.

---

Below is a geometry-optimized K5As2Au structure, with properties calculated at the PBE level.

Geometry as CIF:
```
data_K5As2Au
_chemical_formula_sum 'K10 As4 Au2'
_cell_length_a 5.782
_cell_length_b 5.782
_cell_length_c 19.456
_cell_angle_alpha 90.00
_cell_angle_beta 90.00
_cell_angle_gamma 120.00
_symmetry_space_group_name_H-M 'P 1'
_symmetry_Int_Tables_number 1
_symmetry_space_group_name_Hall 'P 1'
loop_
_atom_site_label
_atom_site_type_symbol
_atom_site_fract_x
_atom_site_fract_y
_atom_site_fract_z
K1 K 0.000 0.000 0.145
K2 K 0.000 0.000 0.355
K3 K 0.000 0.000 0.645
K4 K 0.000 0.000 0.855
K5 K 0.333 0.667 0.049
K6 K 0.333 0.667 0.250
K7 K 0.333 0.667 0.451
K8 K 0.667 0.333 0.549
K9 K 0.667 0.333 0.750
K10 K 0.667 0.333 0.951
As1 As 0.333 0.667 0.621
As2 As 0.333 0.667 0.879
As3 As 0.667 0.333 0.121
As4 As 0.667 0.333 0.379
Au1 Au 0.333 0.667 0.750
Au2 Au 0.667 0.333 0.250
```

Output
* VASP energy: -2.71 eV/atom
* formation energy from the elements: -0.45 eV/atom
* total magnetic moment: 0.000 μB/f.u.

---

Below is a geometry-optimized KAsAu2 structure, with properties calculated at the PBE level.

Geometry as CIF:
```
data_KAsAu2
_chemical_formula_sum 'K1 As1 Au2'
_cell_length_a 4.694
_cell_length_b 4.694
_cell_length_c 3.997
_cell_angle_alpha 90.00
_cell_angle_beta 90.00
_cell_angle_gamma 90.00
_symmetry_space_group_name_H-M 'P 1'
_symmetry_Int_Tables_number 1
_symmetry_space_group_name_Hall 'P 1'
loop_
_atom_site_label
_atom_site_type_symbol
_atom_site_fract_x
_atom_site_fract_y
_atom_site_fract_z
K1 K 0.000 0.000 0.000
As1 As 0.500 0.500 0.000
Au1 Au 0.000 0.500 0.500
Au2 Au 0.500 0.000 0.500
```

Output
* VASP energy: -2.93 eV/atom
* formation energy from the elements: 0.14 eV/atom
* total magnetic moment: 0.000 μB/f.u.

---

Below is a geometry-optimized KAsAu2 structure, with properties calculated at the PBE level.

Geometry as CIF:
```
data_KAsAu2
_chemical_formula_sum 'K1 As1 Au2'
_cell_length_a 4.684
_cell_length_b 4.684
_cell_length_c 6.416
_cell_angle_alpha 111.28
_cell_angle_beta 111.28
_cell_angle_gamma 59.94
_symmetry_space_group_name_H-M 'P 1'
_symmetry_Int_Tables_number 1
_symmetry_space_group_name_Hall 'P 1'
loop_
_atom_site_label
_atom_site_type_symbol
_atom_site_fract_x
_atom_site_fract_y
_atom_site_fract_z
K1 K 0.000 0.000 0.000
As1 As 0.500 0.500 0.500
Au1 Au 0.193 0.193 0.578
Au2 Au 0.807 0.807 0.422
```

Output
* VASP energy: -3.26 eV/atom
* formation energy from the elements: -0.19 eV/atom
* total magnetic moment: 0.000 μB/f.u.

---

Below is a geometry-optimized KAsAu2 structure, with properties calculated at the PBE level.

Geometry as CIF:
```
data_KAsAu2
_chemical_formula_sum 'K1 As1 Au2'
_cell_length_a 5.196
_cell_length_b 5.196
_cell_length_c 6.272
_cell_angle_alpha 110.77
_cell_angle_beta 110.77
_cell_angle_gamma 45.62
_symmetry_space_group_name_H-M 'P 1'
_symmetry_Int_Tables_number 1
_symmetry_space_group_name_Hall 'P 1'
loop_
_atom_site_label
_atom_site_type_symbol
_atom_site_fract_x
_atom_site_fract_y
_atom_site_fract_z
K1 K 0.000 0.000 0.000
As1 As 0.183 0.183 0.592
Au1 Au 0.492 0.492 0.464
Au2 Au 0.796 0.796 0.437
```

Output
* VASP energy: -3.28 eV/atom
* formation energy from the elements: -0.21 eV/atom
* total magnetic moment: 0.000 μB/f.u.